Entry 1:
Here is a geometry-optimized LaPm2Br8 structure from the Alexandria database. Energies are from GGA-PBE.

a b c (Å): 8.8649 8.8649 7.0350
angles (deg): 90.87 90.87 74.17
Last column: nearest neighbours and their distance in Å.
Atoms (fractional coordinates):
La 0.0000 0.0000 0.0000  6 Br 3.01-3.02
Pm 0.1957 0.1957 0.6320  4 Br 2.67-2.84
Pm 0.8043 0.8043 0.3680  4 Br 2.67-2.84
Br 0.1166 0.7168 0.2474  1 Pm 2.80, 1 La 3.01
Br 0.1829 0.1829 0.2287  1 Pm 2.84, 1 La 3.02
Br 0.2832 0.8834 0.7526  1 Pm 2.80, 1 La 3.01
Br 0.3750 0.3750 0.7577  1 Pm 2.67
Br 0.6250 0.6250 0.2423  1 Pm 2.67
Br 0.7168 0.1166 0.2474  1 Pm 2.80, 1 La 3.01
Br 0.8171 0.8171 0.7713  1 Pm 2.84, 1 La 3.02
Br 0.8834 0.2832 0.7526  1 Pm 2.80, 1 La 3.01

Values from the calculation:
ΔE_f (raw) ... -1.6762 eV/atom

=====

Entry 2:
Here is a geometry-optimized RbReH2 structure from the Alexandria database. Energies are from GGA-PBE.

a b c (Å): 5.5350 5.5350 7.6180
angles (deg): 90.00 90.00 90.00
Last column: nearest neighbours and their distance in Å.
Atoms (fractional coordinates):
Rb 0.0000 0.0000 0.0000  4 H 2.70
Rb 0.0000 0.5000 0.2500  4 H 2.70
Rb 0.5000 0.0000 0.7500  4 H 2.70
Rb 0.5000 0.5000 0.5000  4 H 2.70
Re 0.0000 0.0000 0.5000  4 H 1.80
Re 0.0000 0.5000 0.7500  4 H 1.80
Re 0.5000 0.0000 0.2500  4 H 1.80
Re 0.5000 0.5000 0.0000  4 H 1.80
H 0.1190 0.2500 0.6250  2 Re 1.80
H 0.2500 0.6190 0.8750  2 Re 1.80
H 0.2500 0.8810 0.3750  2 Re 1.80
H 0.3810 0.2500 0.1250  2 Re 1.80
H 0.6190 0.7500 0.1250  2 Re 1.80
H 0.7500 0.1190 0.3750  2 Re 1.80
H 0.7500 0.3810 0.8750  2 Re 1.80
H 0.8810 0.7500 0.6250  2 Re 1.80

Values from the calculation:
DFT total energy ... -4.20 eV per atom

=====

Entry 3:
Here is a geometry-optimized CeTcB2 structure from the Alexandria database. Energies are from GGA-PBE.

a b c (Å): 3.2416 3.2416 18.1188
angles (deg): 90.00 90.00 120.00
Last column: nearest neighbours and their distance in Å.
Atoms (fractional coordinates):
Ce 0.0000 0.0000 0.0000  6 B 2.62
Ce 0.3333 0.6667 0.6667  6 B 2.62
Ce 0.6667 0.3333 0.3333  6 B 2.62
Tc 0.0000 0.0000 0.5000  6 B 2.22
Tc 0.3333 0.6667 0.1667  6 B 2.22
Tc 0.6667 0.3333 0.8333  6 B 2.22
B 0.0000 0.0000 0.2323  3 Tc 2.22
B 0.0000 0.0000 0.7677  3 Tc 2.22
B 0.3333 0.6667 0.4344  3 Tc 2.22
B 0.3333 0.6667 0.8989  3 Tc 2.22
B 0.6667 0.3333 0.1011  3 Tc 2.22
B 0.6667 0.3333 0.5656  3 Tc 2.22

Values from the calculation:
E_form ... -66.9 meV/atom

=====

Entry 4:
Here is a geometry-optimized ZnFePb3 structure from the Alexandria database. Energies are from GGA-PBE.

a b c (Å): 5.1615 5.1615 5.1615
angles (deg): 90.00 90.00 90.00
Last column: nearest neighbours and their distance in Å.
Atoms (fractional coordinates):
Zn 0.0000 0.0000 0.0000  12 Pb 3.65
Fe 0.5000 0.5000 0.5000  6 Pb 2.58
Pb 0.0000 0.5000 0.5000  2 Fe 2.58
Pb 0.5000 0.0000 0.5000  2 Fe 2.58
Pb 0.5000 0.5000 0.0000  2 Fe 2.58

Values from the calculation:
E_form ... 355.0 meV/atom

=====

Entry 5:
Here is a geometry-optimized DyNpSn2 structure from the Alexandria database. Energies are from GGA-PBE.

a b c (Å): 3.2873 3.2873 35.4493
angles (deg): 90.00 90.00 120.00
Last column: nearest neighbours and their distance in Å.
Atoms (fractional coordinates):
Dy 0.0000 0.0000 0.0000  2 Sn 3.13, 6 Dy 3.29
Dy 0.3333 0.6667 0.6667  2 Sn 3.13, 6 Dy 3.29
Dy 0.6667 0.3333 0.3333  2 Sn 3.13, 6 Dy 3.29
Np 0.0000 0.0000 0.5000  6 Np 3.29, 6 Sn 3.36
Np 0.3333 0.6667 0.1667  6 Np 3.29, 6 Sn 3.36
Np 0.6667 0.3333 0.8333  6 Np 3.29, 6 Sn 3.36
Sn 0.0000 0.0000 0.0883  1 Dy 3.13, 6 Sn 3.29, 3 Np 3.36
Sn 0.0000 0.0000 0.9117  1 Dy 3.13, 6 Sn 3.29, 3 Np 3.36
Sn 0.3333 0.6667 0.5784  1 Dy 3.13, 6 Sn 3.29, 3 Np 3.36
Sn 0.3333 0.6667 0.7549  1 Dy 3.13, 6 Sn 3.29, 3 Np 3.36
Sn 0.6667 0.3333 0.2451  1 Dy 3.13, 6 Sn 3.29, 3 Np 3.36
Sn 0.6667 0.3333 0.4216  1 Dy 3.13, 6 Sn 3.29, 3 Np 3.36

Values from the calculation:
E_form ... 167.4 meV/atom

=====

Entry 6:
Here is a geometry-optimized TlIn4Hg5 structure from the Alexandria database. Energies are from GGA-PBE.

a b c (Å): 6.3608 11.4584 8.2408
angles (deg): 90.00 90.00 90.00
Last column: nearest neighbours and their distance in Å.
Atoms (fractional coordinates):
Tl 0.2500 0.2500 0.0996  4 In 3.21-3.42, 2 Hg 3.21
Tl 0.7500 0.7500 0.9004  4 In 3.21-3.42, 2 Hg 3.21
In 0.0037 0.2500 0.4680  3 Hg 3.01-3.07, 2 In 3.13-3.23
In 0.2500 0.5202 0.9982  5 Hg 2.91-3.14, 1 Tl 3.21, 2 In 3.21
In 0.2500 0.9798 0.9982  5 Hg 2.91-3.14, 1 Tl 3.21, 2 In 3.21
In 0.4963 0.2500 0.4680  3 Hg 3.01-3.07, 2 In 3.13-3.23
In 0.5037 0.7500 0.5320  3 Hg 3.01-3.07, 2 In 3.13-3.23
In 0.7500 0.0202 0.0018  5 Hg 2.91-3.14, 1 Tl 3.21, 2 In 3.21
In 0.7500 0.4798 0.0018  5 Hg 2.91-3.14, 1 Tl 3.21, 2 In 3.21
In 0.9963 0.7500 0.5320  3 Hg 3.01-3.07, 2 In 3.13-3.23
Hg 0.9995 0.0360 0.6797  3 In 3.01-3.14, 3 Hg 3.07-3.19
Hg 0.9995 0.4640 0.6797  3 In 3.01-3.14, 3 Hg 3.07-3.19
Hg 0.0005 0.5360 0.3203  3 In 3.01-3.14, 3 Hg 3.07-3.19
Hg 0.0005 0.9640 0.3203  3 In 3.01-3.14, 3 Hg 3.07-3.19
Hg 0.2500 0.7500 0.8486  4 In 2.91-3.07, 2 Tl 3.21
Hg 0.5005 0.0360 0.6797  3 In 3.01-3.14, 3 Hg 3.07-3.19
Hg 0.5005 0.4640 0.6797  3 In 3.01-3.14, 3 Hg 3.07-3.19
Hg 0.4995 0.5360 0.3203  3 In 3.01-3.14, 3 Hg 3.07-3.19
Hg 0.4995 0.9640 0.3203  3 In 3.01-3.14, 3 Hg 3.07-3.19
Hg 0.7500 0.2500 0.1514  4 In 2.91-3.07, 2 Tl 3.21

Values from the calculation:
E_form ... 57.6 meV/atom

=====

Entry 7:
Here is a geometry-optimized Cs2PrNpSe4 structure from the Alexandria database. Energies are from GGA-PBE.

a b c (Å): 7.6060 4.3958 8.7680
angles (deg): 90.00 106.88 90.00
Last column: nearest neighbours and their distance in Å.
Atoms (fractional coordinates):
Cs 0.0000 0.0000 0.0000  6 Se 3.66-3.67
Cs 0.5000 0.5000 0.0000  6 Se 3.61-3.62
Pr 0.0000 0.5000 0.5000  6 Se 3.02
Np 0.5000 0.0000 0.5000  6 Se 2.96-2.97
Se 0.2354 0.0000 0.6908  1 Np 2.97, 2 Pr 3.02
Se 0.2778 0.5000 0.3136  2 Np 2.96, 1 Pr 3.02
Se 0.7222 0.5000 0.6864  2 Np 2.96, 1 Pr 3.02
Se 0.7646 0.0000 0.3092  1 Np 2.97, 2 Pr 3.02

Values from the calculation:
ΔE_f (raw) ... -1.4676 eV/atom

=====

Entry 8:
Here is a geometry-optimized Na3PdO4 structure from the Alexandria database. Energies are from GGA-PBE.

a b c (Å): 5.7608 6.5465 5.4822
angles (deg): 90.00 109.64 90.00
Last column: nearest neighbours and their distance in Å.
Atoms (fractional coordinates):
Na 0.0000 0.1188 0.2500  6 O 2.35-2.36
Na 0.0000 0.8812 0.7500  6 O 2.35-2.36
Na 0.5000 0.1218 0.7500  4 O 2.29-2.55
Na 0.5000 0.3800 0.2500  6 O 2.29-2.56
Na 0.5000 0.6200 0.7500  6 O 2.29-2.56
Na 0.5000 0.8782 0.2500  4 O 2.29-2.55
Pd 0.0000 0.3775 0.7500  6 O 1.99-2.09
Pd 0.0000 0.6225 0.2500  6 O 1.99-2.09
O 0.2004 0.3968 0.5035  2 Pd 2.06-2.09
O 0.2004 0.6032 0.0035  2 Pd 2.06-2.09
O 0.2253 0.1652 0.9647  1 Pd 1.99
O 0.2253 0.8348 0.4647  1 Pd 1.99
O 0.7747 0.1652 0.5353  1 Pd 1.99
O 0.7747 0.8348 0.0353  1 Pd 1.99
O 0.7996 0.3968 0.9965  2 Pd 2.06-2.09
O 0.7996 0.6032 0.4965  2 Pd 2.06-2.09

Values from the calculation:
ΔE_f (raw) ... -1.0182 eV/atom

=====

Entry 9:
Here is a geometry-optimized Sr5Sc structure from the Alexandria database. Energies are from GGA-PBE.

a b c (Å): 6.2859 14.0847 6.2650
angles (deg): 90.00 90.00 90.00
Last column: nearest neighbours and their distance in Å.
Atoms (fractional coordinates):
Sr 0.0000 0.0000 0.0000  8 Sr 3.83-3.85
Sr 0.0000 0.1584 0.5000  6 Sr 3.85-4.08, 2 Sc 3.85
Sr 0.0000 0.3441 0.0000  2 Sc 3.83, 6 Sr 3.83-4.11
Sr 0.0000 0.6559 0.0000  2 Sc 3.83, 6 Sr 3.83-4.11
Sr 0.0000 0.8416 0.5000  6 Sr 3.85-4.08, 2 Sc 3.85
Sr 0.5000 0.1559 0.0000  2 Sc 3.83, 6 Sr 3.83-4.11
Sr 0.5000 0.3416 0.5000  6 Sr 3.85-4.08, 2 Sc 3.85
Sr 0.5000 0.5000 0.0000  8 Sr 3.83-3.85
Sr 0.5000 0.6584 0.5000  6 Sr 3.85-4.08, 2 Sc 3.85
Sr 0.5000 0.8441 0.0000  2 Sc 3.83, 6 Sr 3.83-4.11
Sc 0.0000 0.5000 0.5000  8 Sr 3.83-3.85
Sc 0.5000 0.0000 0.5000  8 Sr 3.83-3.85

Values from the calculation:
E_form ... 187.3 meV/atom

=====

Entry 10:
Here is a geometry-optimized Pm3GaSe6 structure from the Alexandria database. Energies are from GGA-PBE.

a b c (Å): 9.1277 9.1277 6.9131
angles (deg): 90.00 90.00 102.39
Last column: nearest neighbours and their distance in Å.
Atoms (fractional coordinates):
Pm 0.0980 0.9020 0.5000  7 Se 2.93-3.27
Pm 0.2185 0.4143 0.4006  7 Se 2.88-3.16
Pm 0.4143 0.2185 0.9006  7 Se 2.88-3.16
Pm 0.5857 0.7815 0.4006  7 Se 2.88-3.16
Pm 0.7815 0.5857 0.9006  7 Se 2.88-3.16
Pm 0.9020 0.0980 0.0000  7 Se 2.93-3.27
Ga 0.2994 0.7006 0.8643  4 Se 2.43-2.49
Ga 0.7006 0.2994 0.3643  4 Se 2.43-2.49
Se 0.0683 0.5982 0.6881  1 Ga 2.44
Se 0.1301 0.1940 0.7011  4 Pm 2.88-2.96
Se 0.1940 0.1301 0.2011  4 Pm 2.88-2.96
Se 0.2812 0.7188 0.2146  1 Ga 2.43
Se 0.4018 0.9317 0.6881  1 Ga 2.44
Se 0.4600 0.5400 0.7208  1 Ga 2.49
Se 0.5400 0.4600 0.2208  1 Ga 2.49
Se 0.5982 0.0683 0.1881  1 Ga 2.44
Se 0.7188 0.2812 0.7146  1 Ga 2.43
Se 0.8060 0.8699 0.7011  4 Pm 2.88-2.96
Se 0.8699 0.8060 0.2011  4 Pm 2.88-2.96
Se 0.9317 0.4018 0.1881  1 Ga 2.44

Values from the calculation:
ΔE_f (raw) ... -1.5708 eV/atom

=====

Entry 11:
Here is a geometry-optimized CaSb2P structure from the Alexandria database. Energies are from GGA-PBE.

a b c (Å): 4.1139 4.1348 6.7997
angles (deg): 90.00 90.00 90.00
Last column: nearest neighbours and their distance in Å.
Atoms (fractional coordinates):
Ca 0.0000 0.0000 0.0000  4 P 2.92
Sb 0.0000 0.0000 0.4940  4 Sb 3.08, 2 Ca 3.36-3.44
Sb 0.5000 0.5000 0.6378  1 P 2.48
P 0.5000 0.5000 0.0027  1 Sb 2.48

Values from the calculation:
ΔE_f (raw) ... -0.4502 eV/atom

=====

| no. | total magnetic moment (μB per formula unit) | Fermi-level density of states (states/eV/f.u.) |
| --- | --- | --- |
| 1 | 1.132 | 2.0 |
| 2 | 0.000 | 2.1 |
| 3 | 0.000 | 3.3 |
| 4 | 1.977 | 1.4 |
| 5 | 4.208 | 7.4 |
| 6 | 0.000 | 5.0 |
| 7 | 4.001 | 9.1 |
| 8 | 1.045 | 5.2 |
| 9 | 0.391 | 7.1 |
| 10 | 0.000 | 0.0 |
| 11 | 0.000 | 1.8 |